No. 1
VASP calculation (PBE) on a relaxed structure of Th3Ge3Os2.

Calculated values
Total DFT energy (no corrections)   -7.912 eV per atom
V   363.62 Å³ per cell
Crystal system   orthorhombic
E_form   -57.0 kJ per mole of atoms
Excess energy over the best structure of this formula in the dataset   0 meV/atom

Cell lengths 4.260, 5.935, 15.409 Å; angles 90.00, 90.00, 111.04 degrees
Atoms (fractional coordinates):
Os1 0.846 0.693 0.878
Ge1 0.416 0.832 0.552
Th1 0.141 0.281 0.591
Th2 0.406 0.813 0.750
Th3 0.594 0.187 0.250
Os2 0.154 0.307 0.378
Ge2 0.584 0.168 0.448
Ge3 0.416 0.832 0.948
Ge4 0.584 0.168 0.052
Os3 0.154 0.307 0.122
Th4 0.859 0.719 0.409
Th5 0.859 0.719 0.091
Os4 0.846 0.693 0.622
Ge5 0.310 0.620 0.250
Th6 0.141 0.281 0.909
Ge6 0.690 0.380 0.750

=====

No. 2
VASP calculation (PBE) on a relaxed structure of Th3Ge2Os.

Calculated values
Total DFT energy (no corrections)   -7.742 eV per atom
V   607.40 Å³ per cell
Crystal system   orthorhombic
E_form   -60.0 kJ per mole of atoms
Excess energy over the best structure of this formula in the dataset   0 meV/atom

Cell lengths 4.324, 11.719, 11.988 Å; angles 90.00, 90.00, 90.00 degrees
Atoms (fractional coordinates):
Th1 0.750 0.871 0.447
Ge1 0.750 0.189 0.013
Th2 0.250 0.699 0.222
Th3 0.750 0.199 0.278
Th4 0.750 0.301 0.778
Os1 0.750 0.873 0.870
Th5 0.250 0.371 0.053
Os2 0.750 0.627 0.370
Ge2 0.750 0.496 0.188
Os3 0.250 0.127 0.130
Th6 0.750 0.943 0.121
Th7 0.750 0.629 0.947
Ge3 0.250 0.996 0.312
Ge4 0.250 0.504 0.812
Th8 0.750 0.557 0.621
Ge5 0.750 0.311 0.513
Th9 0.250 0.801 0.722
Th10 0.250 0.057 0.879
Ge6 0.250 0.811 0.987
Th11 0.250 0.129 0.553
Ge7 0.750 0.004 0.688
Ge8 0.250 0.689 0.487
Os4 0.250 0.373 0.630
Th12 0.250 0.443 0.379

=====

No. 3
VASP calculation (PBE) on a relaxed structure of Th2Ge5Os.

Calculated values
Total DFT energy (no corrections)   -6.473 eV per atom
V   171.06 Å³ per cell
Crystal system   tetragonal
E_form   -31.7 kJ per mole of atoms

Cell lengths 6.414, 6.414, 6.414 Å; angles 81.83, 124.83, 124.83 degrees
Atoms (fractional coordinates):
Ge1 0.465 0.739 0.739
Ge2 0.000 0.739 0.274
Ge3 0.000 0.302 0.302
Th1 0.500 0.752 0.252
Os1 0.000 0.891 0.891
Th2 0.500 0.252 0.752
Ge4 0.535 0.274 0.274
Ge5 0.000 0.274 0.739

=====

No. 4
VASP calculation (PBE) on a relaxed structure of ThGe3Os.

Calculated values
Total DFT energy (no corrections)   -6.911 eV per atom
V   208.07 Å³ per cell
Crystal system   orthorhombic
E_form   -39.6 kJ per mole of atoms

Cell lengths 5.824, 5.751, 6.212 Å; angles 90.00, 90.00, 90.00 degrees
Atoms (fractional coordinates):
Os1 0.665 0.563 0.201
Ge1 0.464 0.847 0.435
Ge2 0.869 0.081 0.701
Ge3 0.964 0.505 0.467
Ge4 0.369 0.272 0.201
Os2 0.165 0.790 0.701
Ge5 0.464 0.847 0.967
Ge6 0.964 0.505 0.935
Th1 0.416 0.314 0.701
Th2 0.916 0.039 0.201

=====

No. 5
VASP calculation (PBE) on a relaxed structure of Th2Ge3Os2.

Calculated values
Total DFT energy (no corrections)   -7.712 eV per atom
V   141.01 Å³ per cell
Crystal system   monoclinic
E_form   -39.0 kJ per mole of atoms
Excess energy over the best structure of this formula in the dataset   22 meV/atom

Cell lengths 4.257, 5.597, 7.016 Å; angles 112.30, 90.00, 112.35 degrees
Atoms (fractional coordinates):
Os1 0.140 0.279 0.210
Ge1 0.371 0.742 0.564
Th1 0.855 0.710 0.225
Ge2 0.629 0.258 0.436
Ge3 0.500 0.000 0.000
Os2 0.860 0.721 0.790
Th2 0.145 0.290 0.775

=====

No. 6
VASP calculation (PBE) on a relaxed structure of ThGe3Os2.

Calculated values
Total DFT energy (no corrections)   -7.436 eV per atom
V   218.97 Å³ per cell
Crystal system   orthorhombic
E_form   -14.2 kJ per mole of atoms

Cell lengths 5.829, 6.161, 6.161 Å; angles 98.23, 90.00, 90.00 degrees
Atoms (fractional coordinates):
Ge1 0.250 0.994 0.994
Os1 0.500 0.776 0.224
Ge2 0.750 0.117 0.440
Os2 0.000 0.776 0.224
Ge3 0.750 0.006 0.006
Ge4 0.250 0.883 0.560
Os3 0.000 0.224 0.776
Th1 0.250 0.355 0.355
Ge5 0.250 0.560 0.883
Ge6 0.750 0.440 0.117
Th2 0.750 0.645 0.645
Os4 0.500 0.224 0.776